Model A:
DFT (PBE) results for a relaxed Ag2AsSe4 crystal.

The structure in POSCAR format:
```
Ag2AsSe4
1.0
7.359 0.000 0.000
0.000 7.088 0.000
-3.128 0.000 7.048
Ag As Se
4 2 8
Cartesian
-0.218 1.772 1.259
0.437 5.316 6.222
3.794 1.772 0.826
4.449 5.316 5.789
1.880 5.316 2.189
2.351 1.772 4.859
-0.524 1.772 3.885
-0.292 5.316 3.630
1.753 3.588 0.523
1.753 7.045 0.523
2.478 0.044 6.525
2.478 3.501 6.525
4.523 1.772 3.419
4.755 5.316 3.163
```

SG: P2_1/m
Calculated volume (Å³ per cell): 368
Calculated density (g cm⁻³): 5.5

=====

Model B:
DFT (PBE) results for a relaxed Ag2AsSe4 crystal.

The structure in POSCAR format:
```
Ag2AsSe4
1.0
6.835 0.000 0.000
0.000 6.835 0.000
0.000 0.000 4.718
Ag As Se
2 1 4
Cartesian
0.000 3.417 0.000
3.417 0.000 0.000
0.000 0.000 0.000
1.458 1.458 1.147
1.458 5.377 3.571
5.377 1.458 3.571
5.377 5.377 1.147
```

SG: P-42m
Calculated volume (Å³ per cell): 220
Calculated density (g cm⁻³): 4.6

=====

Most favorable first, least favorable last: model A, model B

=====

Model A:
DFT (PBE) results for a relaxed Ag3As2Se4 crystal.

The structure in POSCAR format:
```
Ag3As2Se4
1.0
6.059 -6.186 0.000
6.059 6.186 0.000
-0.435 0.000 5.628
Ag As Se
6 4 8
Cartesian
5.733 5.784 4.221
4.058 1.519 5.475
4.275 -1.519 2.661
7.409 1.519 2.966
7.626 -1.519 0.153
5.950 -5.784 1.407
3.962 3.687 2.885
7.504 3.687 5.556
4.179 -3.687 0.072
7.721 -3.687 2.742
1.450 1.653 5.044
1.667 -1.653 2.230
4.796 1.410 2.697
7.105 1.410 0.117
4.578 -1.410 5.510
6.888 -1.410 2.931
10.016 1.653 3.398
10.234 -1.653 0.584
```

SG: C2/c
Calculated volume (Å³ per cell): 422
Calculated density (g cm⁻³): 6.2

=====

Model B:
DFT (PBE) results for a relaxed Ag3As2Se4 crystal.

The structure in POSCAR format:
```
Ag3As2Se4
1.0
5.552 -6.782 0.000
5.552 6.782 0.000
-1.073 0.000 6.250
Ag As Se
6 4 8
Cartesian
3.359 2.803 2.132
4.747 3.489 4.688
7.207 2.803 0.993
2.822 -2.803 5.257
5.283 -3.489 1.563
6.671 -2.803 4.118
0.989 1.551 5.345
1.526 -1.551 2.220
8.504 1.551 4.030
9.041 -1.551 0.905
1.217 1.396 2.930
3.212 1.767 6.168
0.681 -1.396 6.055
6.282 1.767 3.207
3.748 -1.767 3.043
9.349 1.396 0.195
6.818 -1.767 0.082
8.812 -1.396 3.320
```

SG: C2/c
Calculated volume (Å³ per cell): 471
Calculated density (g cm⁻³): 5.6

=====

Most favorable first, least favorable last: model A, model B

=====

Model A:
DFT (PBE) results for a relaxed Ag3AsSe3 crystal.

The structure in POSCAR format:
```
Ag3AsSe3
1.0
8.479 0.000 0.000
0.000 11.388 0.000
0.000 0.000 21.257
Ag As Se
36 12 36
Cartesian
1.085 0.176 3.915
1.085 5.518 3.915
1.262 6.098 12.126
1.262 10.985 12.126
1.737 1.286 16.818
1.737 4.408 16.818
1.808 6.506 20.284
1.808 10.577 20.284
2.063 2.847 2.911
2.176 8.541 13.539
2.432 0.812 9.655
2.432 4.883 9.655
2.502 6.980 6.190
2.502 10.102 6.190
2.977 0.404 1.498
2.977 5.291 1.498
3.154 5.870 14.544
3.154 11.212 14.544
5.325 0.176 6.713
5.325 5.518 6.713
5.502 6.098 19.759
5.502 10.985 19.759
5.977 1.286 15.067
5.977 4.408 15.067
6.047 6.506 11.601
6.047 10.577 11.601
6.303 2.847 7.718
6.416 8.541 18.346
6.671 0.812 0.973
6.671 4.883 0.973
6.742 6.980 4.438
6.742 10.102 4.438
7.217 0.404 9.131
7.217 5.291 9.131
7.394 5.870 17.341
7.394 11.212 17.341
1.796 8.541 9.676
1.875 8.541 2.535
2.016 8.541 17.131
2.224 2.847 6.503
2.365 2.847 13.163
2.443 2.847 20.304
6.036 8.541 0.952
6.114 8.541 8.094
6.255 8.541 14.754
6.463 2.847 4.126
6.604 2.847 18.722
6.683 2.847 11.581
0.245 8.541 11.588
0.543 8.541 19.052
0.628 8.541 4.659
0.731 6.641 1.494
0.731 10.441 1.494
0.976 6.803 15.741
0.976 10.279 15.741
0.983 6.638 8.369
0.983 10.444 8.369
3.257 0.944 18.998
3.257 4.750 18.998
3.264 1.109 5.113
3.264 4.585 5.113
3.508 0.947 12.122
3.508 4.747 12.122
3.612 2.847 15.287
3.697 2.847 8.423
3.995 2.847 0.960
4.484 8.541 20.297
4.782 8.541 12.833
4.867 8.541 5.969
4.971 6.641 9.135
4.971 10.441 9.135
5.215 6.803 16.144
5.215 10.279 16.144
5.222 6.638 2.259
5.222 10.444 2.259
7.496 0.944 12.887
7.496 4.750 12.887
7.503 1.109 5.516
7.503 4.585 5.516
7.748 0.947 19.763
7.748 4.747 19.763
7.851 2.847 16.598
7.936 2.847 2.205
8.234 2.847 9.669
```

SG: Pnma
Calculated volume (Å³ per cell): 2053
Calculated density (g cm⁻³): 6.2

=====

Model B:
DFT (PBE) results for a relaxed Ag3AsSe3 crystal.

The structure in POSCAR format:
```
Ag3AsSe3
1.0
5.738 3.313 3.046
-5.738 3.313 3.046
0.000 -6.625 3.046
Ag As Se
6 2 6
Cartesian
-1.986 -2.603 3.046
-4.477 -0.291 4.568
-1.261 3.021 3.046
2.491 -3.731 4.568
3.247 -0.419 3.046
1.986 4.023 4.568
0.000 0.000 1.113
0.000 0.000 5.682
-3.817 -2.349 6.003
-1.920 0.964 4.480
0.126 -2.145 4.480
1.795 1.181 4.480
-0.126 4.480 6.003
3.943 -2.132 6.003
```

SG: R3c
Calculated volume (Å³ per cell): 347
Calculated density (g cm⁻³): 6.1

=====

Most favorable first, least favorable last: model A, model B

=====

Model A:
DFT (PBE) results for a relaxed AgAs2Se4 crystal.

The structure in POSCAR format:
```
AgAs2Se4
1.0
5.589 -5.603 0.000
5.589 5.603 0.000
-5.578 0.000 5.600
Ag As Se
2 4 8
Cartesian
1.405 4.203 4.200
4.194 -4.203 1.400
2.794 2.802 0.000
0.005 -2.802 2.800
5.589 0.000 0.000
2.799 0.000 2.800
2.884 0.096 0.093
2.890 2.705 2.706
5.498 2.705 0.094
0.095 -0.096 2.893
5.504 0.096 2.707
0.101 -2.705 5.506
2.709 -2.705 2.895
2.715 -0.096 5.508
```

SG: C2/c
Calculated volume (Å³ per cell): 351
Calculated density (g cm⁻³): 5.4

=====

Model B:
DFT (PBE) results for a relaxed AgAs2Se4 crystal.

The structure in POSCAR format:
```
AgAs2Se4
1.0
1.884 -6.291 0.000
1.884 6.291 0.000
0.000 0.000 13.548
Ag As Se
2 4 8
Cartesian
1.884 5.120 10.161
1.884 -5.120 3.387
1.884 1.749 7.655
1.884 1.749 12.667
1.884 -1.749 0.881
1.884 -1.749 5.893
0.000 0.000 0.000
0.000 0.000 6.774
1.884 2.828 1.606
1.884 2.828 5.168
1.884 0.667 10.161
1.884 -0.667 3.387
1.884 -2.828 8.380
1.884 -2.828 11.942
```

SG: Cmcm
Calculated volume (Å³ per cell): 321
Calculated density (g cm⁻³): 5.9

=====

Most favorable first, least favorable last: model A, model B

=====

Model A:
DFT (PBE) results for a relaxed AgAsSe3 crystal.

The structure in POSCAR format:
```
AgAsSe3
1.0
5.060 0.000 0.000
0.000 5.060 0.000
0.000 0.000 5.060
Ag As Se
1 1 3
Cartesian
0.000 0.000 0.000
2.530 2.530 2.530
0.000 2.530 2.530
2.530 0.000 2.530
2.530 2.530 0.000
```

SG: Pm-3m
Calculated volume (Å³ per cell): 130
Calculated density (g cm⁻³): 5.4

=====

Model B:
DFT (PBE) results for a relaxed AgAsSe3 crystal.

The structure in POSCAR format:
```
AgAsSe3
1.0
8.280 -1.881 0.000
8.280 1.881 0.000
-0.221 0.000 8.103
Ag As Se
2 2 6
Cartesian
2.822 0.000 1.301
13.516 0.000 6.802
7.044 0.000 2.690
9.295 0.000 5.413
0.227 0.000 1.918
3.784 0.000 4.913
5.465 0.000 0.838
10.874 0.000 7.265
12.555 0.000 3.190
16.111 0.000 6.185
```

SG: C2/m
Calculated volume (Å³ per cell): 252
Calculated density (g cm⁻³): 5.5

=====

Model C:
DFT (PBE) results for a relaxed AgAsSe3 crystal.

The structure in POSCAR format:
```
AgAsSe3
1.0
5.019 0.000 0.000
0.000 5.019 0.000
0.000 0.000 5.019
Ag As Se
1 1 3
Cartesian
0.000 0.000 0.000
2.509 2.509 2.509
0.000 0.000 2.509
0.000 2.509 0.000
2.509 0.000 0.000
```

SG: Pm-3m
Calculated volume (Å³ per cell): 126
Calculated density (g cm⁻³): 5.5

=====

Most favorable first, least favorable last: model B, model A, model C

=====

Model A:
DFT (PBE) results for a relaxed SiAgAsSe2 crystal.

The structure in POSCAR format:
```
SiAgAsSe2
1.0
4.890 0.000 0.000
0.000 4.890 0.000
0.000 0.000 4.783
Si Ag As Se
1 1 1 2
Cartesian
0.000 0.000 0.000
2.445 2.445 2.392
0.000 0.000 2.392
0.000 2.445 0.000
2.445 0.000 0.000
```

SG: P4/mmm
Calculated volume (Å³ per cell): 114
Calculated density (g cm⁻³): 5.4

=====

Model B:
DFT (PBE) results for a relaxed SiAgAsSe2 crystal.

The structure in POSCAR format:
```
SiAgAsSe2
1.0
5.113 0.000 0.000
0.000 5.113 0.000
0.000 0.000 4.866
Si Ag As Se
1 1 1 2
Cartesian
0.000 0.000 0.000
2.557 2.557 2.433
2.557 2.557 0.000
0.000 2.557 2.433
2.557 0.000 2.433
```

SG: P4/mmm
Calculated volume (Å³ per cell): 127
Calculated density (g cm⁻³): 4.8

=====

Most favorable first, least favorable last: model A, model B

=====

Model A:
DFT (PBE) results for a relaxed SrAgAsSe2 crystal.

The structure in POSCAR format:
```
SrAgAsSe2
1.0
5.789 0.000 0.000
0.000 5.789 0.000
0.000 0.000 5.847
Sr Ag As Se
1 1 1 2
Cartesian
0.000 0.000 0.000
2.894 2.894 2.924
0.000 0.000 2.924
0.000 2.894 0.000
2.894 0.000 0.000
```

SG: P4/mmm
Calculated volume (Å³ per cell): 196
Calculated density (g cm⁻³): 3.6

=====

Model B:
DFT (PBE) results for a relaxed SrAgAsSe2 crystal.

The structure in POSCAR format:
```
SrAgAsSe2
1.0
5.281 0.000 0.000
0.000 5.281 0.000
0.000 0.000 4.889
Sr Ag As Se
1 1 1 2
Cartesian
0.000 0.000 0.000
2.641 2.641 2.444
2.641 2.641 0.000
0.000 2.641 2.444
2.641 0.000 2.444
```

SG: P4/mmm
Calculated volume (Å³ per cell): 136
Calculated density (g cm⁻³): 5.2

=====

Most favorable first, least favorable last: model B, model A

=====

Model A:
DFT (PBE) results for a relaxed SrAgAs2Se crystal.

The structure in POSCAR format:
```
SrAgAs2Se
1.0
5.705 0.000 0.000
0.000 5.705 0.000
0.000 0.000 5.662
Sr Ag As Se
1 1 2 1
Cartesian
0.000 0.000 0.000
2.852 2.852 2.831
0.000 2.852 0.000
2.852 0.000 0.000
0.000 0.000 2.831
```

SG: P4/mmm
Calculated volume (Å³ per cell): 184
Calculated density (g cm⁻³): 3.8

=====

Model B:
DFT (PBE) results for a relaxed SrAgAs2Se crystal.

The structure in POSCAR format:
```
SrAgAs2Se
1.0
5.022 0.000 0.000
0.000 5.022 0.000
0.000 0.000 5.345
Sr Ag As Se
1 1 2 1
Cartesian
0.000 0.000 0.000
2.511 2.511 2.673
0.000 2.511 2.673
2.511 0.000 2.673
2.511 2.511 0.000
```

SG: P4/mmm
Calculated volume (Å³ per cell): 135
Calculated density (g cm⁻³): 5.2

=====

Most favorable first, least favorable last: model B, model A

=====

Model A:
DFT (PBE) results for a relaxed TaAgAs2Se crystal.

The structure in POSCAR format:
```
TaAgAs2Se
1.0
5.039 0.000 0.000
0.000 5.039 0.000
0.000 0.000 4.979
Ta Ag As Se
1 1 2 1
Cartesian
0.000 0.000 0.000
2.520 2.520 2.489
0.000 2.520 0.000
2.520 0.000 0.000
0.000 0.000 2.489
```

SG: P4/mmm
Calculated volume (Å³ per cell): 126
Calculated density (g cm⁻³): 6.8

=====

Model B:
DFT (PBE) results for a relaxed TaAgAs2Se crystal.

The structure in POSCAR format:
```
TaAgAs2Se
1.0
4.846 0.000 0.000
0.000 4.846 0.000
0.000 0.000 4.938
Ta Ag As Se
1 1 2 1
Cartesian
0.000 0.000 0.000
2.423 2.423 2.469
0.000 2.423 2.469
2.423 0.000 2.469
2.423 2.423 0.000
```

SG: P4/mmm
Calculated volume (Å³ per cell): 116
Calculated density (g cm⁻³): 7.4

=====

Most favorable first, least favorable last: model A, model B